VASP calculation (PBE-GGA) on a relaxed InMoH3 crystal.

abc: 3.709 3.709 3.709
angles: 90.00 90.00 90.00
Space group Pm-3m (No. 221)
Symmetry-distinct sites (fractional):
1 In 0.000 0.000 0.000 [1 per cell]
2 Mo 0.500 0.500 0.500 [1 per cell]
3 H 0.000 0.000 0.500 [3 per cell]

Output
* relative energy among the computed polymorphs: 938 meV per atom
* density: 7.0 Mg/m³
* DOS at the Fermi energy: 1.5 states/eV/cell

VASP calculation (PBE-GGA) on a relaxed Sm6Ho2Er3Sc crystal.

abc: 6.165 10.675 11.668
angles: 90.00 100.12 90.00
Space group C2/m (No. 12)
Symmetry-distinct sites (fractional):
1 Sm 0.248 0.165 0.248 [8 per cell]
2 Sm 0.249 0.000 0.752 [4 per cell]
3 Ho 0.000 0.333 0.000 [4 per cell]
4 Er 0.000 0.167 0.500 [4 per cell]
5 Er 0.000 0.500 0.500 [2 per cell]
6 Sc 0.000 0.000 0.000 [2 per cell]

Output
* energy relative to the elements: 25 meV per atom
* density: 7.8 Mg/m³
* DOS at the Fermi energy: 28.1 states/eV/cell

VASP calculation (PBE-GGA) on a relaxed Ag3O2F2 crystal.

abc: 7.386 3.558 7.777
angles: 90.00 91.93 90.00
Space group C2/m (No. 12)
Symmetry-distinct sites (fractional):
1 Ag 0.000 0.000 0.000 [2 per cell]
2 Ag 0.169 0.500 0.298 [4 per cell]
3 O 0.085 0.000 0.467 [4 per cell]
4 F 0.170 0.500 0.847 [4 per cell]

Output
* raw formation energy: -492 meV per atom
* density: 6.4 Mg/m³
* DOS at the Fermi energy: 5.3 states/eV/cell

VASP calculation (PBE-GGA) on a relaxed MgCr2Ni2 crystal.

abc: 7.071 7.071 2.578
angles: 90.00 90.00 90.00
Space group P4/mbm (No. 127)
Symmetry-distinct sites (fractional):
1 Mg 0.000 0.000 0.000 [2 per cell]
2 Cr 0.170 0.330 0.500 [4 per cell]
3 Ni 0.123 0.623 0.000 [4 per cell]

Output
* relative energy among the computed polymorphs: 60 meV per atom
* energy relative to the elements: 248 meV per atom
* density: 6.3 Mg/m³
* DOS at the Fermi energy: 10.7 states/eV/cell

VASP calculation (PBE-GGA) on a relaxed Nb12Sn3Hg crystal.

abc: 5.329 5.337 10.607
angles: 90.00 90.00 90.00
Space group Pmmm (No. 47)
Symmetry-distinct sites (fractional):
1 Nb 0.000 0.000 0.123 [2 per cell]
2 Nb 0.000 0.000 0.372 [2 per cell]
3 Nb 0.250 0.500 0.500 [2 per cell]
4 Nb 0.252 0.500 0.000 [2 per cell]
5 Nb 0.500 0.253 0.250 [4 per cell]
6 Sn 0.000 0.500 0.251 [2 per cell]
7 Sn 0.500 0.000 0.500 [1 per cell]
8 Hg 0.500 0.000 0.000 [1 per cell]

Output
* energy relative to the elements: -102 meV per atom
* density: 9.2 Mg/m³
* DOS at the Fermi energy: 25.8 states/eV/cell

VASP calculation (PBE-GGA) on a relaxed NpAlCl6 crystal.

abc: 6.425 12.249 6.354
angles: 90.00 105.82 90.00
Space group C2/m (No. 12)
Symmetry-distinct sites (fractional):
1 Np 0.000 0.000 0.000 [2 per cell]
2 Al 0.000 0.500 0.500 [2 per cell]
3 Cl 0.209 0.364 0.718 [8 per cell]
4 Cl 0.239 0.500 0.271 [4 per cell]

Output
* raw formation energy: -1542 meV per atom
* density: 3.3 Mg/m³
* DOS at the Fermi energy: 8.7 states/eV/cell

For each record above, in turn, the calculated magnetic moment values are 0.0 0.0 1.3 3.8 0.0 8.0 Bohr magnetons per cell.
For each record above, in turn, the calculated energy values are -3.494 -4.766 -3.665 -6.233 -8.424 -5.012 eV/atom.